Compound: LiFeBO3
Source: Alexandria
Functional: PBE+U
Structure: optimized geometry

a = 5.130 Å, b = 5.228 Å, c = 5.987 Å
α = 91.45°, β = 113.23°, γ = 119.12°
Space group P-1 (No. 2)
One atom of each set of equivalent atoms:
Li (0.058, 0.122, 0.324) x2
Fe (0.333, 0.752, 0.235) x2
B (0.312, 0.580, 0.741) x2
O (0.117, 0.631, 0.825) x2
O (0.266, 0.297, 0.704) x2
O (0.460, 0.183, 0.316) x2

Output
**DOS(E_F)**: 0.000 states/eV per cell
**Energy**: -0.508 Ry/atom


Compound: Ba2SmFe2O6
Source: Alexandria
Functional: PBE+U
Structure: optimized geometry

a = 6.1941 Å, b = 6.1941 Å, c = 17.7760 Å
α = 90.00°, β = 90.00°, γ = 120.00°
Space group R-3m (No. 166, hexagonal axes)
One atom of each set of equivalent atoms:
Ba (0.0000, 0.0000, 0.2090) x6
Sm (0.0000, 0.0000, 0.0000) x3
Fe (0.0000, 0.0000, 0.4280) x6
O (0.0110, 0.5055, 0.7546) x18

Output
**Energy**: -0.498 Ry/atom


The highest energy belongs to which entry?
Ba2SmFe2O6


What is the energy in the second record?
-0.498 Ry/atom


What did the first record say?
Compound: LiFeBO3
Source: Alexandria
Functional: PBE+U
Structure: optimized geometry

a = 5.130 Å, b = 5.228 Å, c = 5.987 Å
α = 91.45°, β = 113.23°, γ = 119.12°
Space group P-1 (No. 2)
One atom of each set of equivalent atoms:
Li (0.058, 0.122, 0.324) x2
Fe (0.333, 0.752, 0.235) x2
B (0.312, 0.580, 0.741) x2
O (0.117, 0.631, 0.825) x2
O (0.266, 0.297, 0.704) x2
O (0.460, 0.183, 0.316) x2

Output
**DOS(E_F)**: 0.000 states/eV per cell
**Energy**: -0.508 Ry/atom


The lowest energy belongs to which entry?
LiFeBO3